# CuRe2Pt PBE-GGA relaxed
data_CuRe2Pt
_chemical_formula_sum 'Cu1 Re2 Pt1'
_space_group_name_H-M_alt 'P 1 m 1'
_space_group_IT_number 6
_cell_length_a 2.665
_cell_length_b 4.207
_cell_length_c 5.279
_cell_angle_alpha 90.00
_cell_angle_beta 100.39
_cell_angle_gamma 90.00
loop_
_space_group_symop_operation_xyz
'x,y,z'
'x,-y,z'
loop_
_atom_site_label
_atom_site_type_symbol
_atom_site_fract_x
_atom_site_fract_y
_atom_site_fract_z
_atom_site_occupancy
Cu1 Cu 0.000 0.000 0.000 1
Re1 Re 0.460 0.500 0.771 1
Re2 Re 0.710 0.000 0.516 1
Pt1 Pt 0.152 0.500 0.255 1
# Magnetization (μB/f.u.): 0.000
# DFT formation energy (eV/atom): 0.086
# Energy above the lowest structure with this stoichiometry (eV/f.u.): 0.25